Model a:
CeMg2Zr | GGA-PBE | relaxed

Geometry as POSCAR:
```
CeMg2Zr
1.0
5.174 0.000 0.000
2.587 4.481 0.000
2.587 1.494 4.225
Mg Zr Ce
2 1 1
Direct
0.250 0.250 0.250
0.750 0.750 0.750
0.500 0.500 0.500
0.000 0.000 0.000
```

Properties
* Fermi-level density of states: 7.97 states/eV/f.u.
* SG: Fm-3m, No. 225

---

Model b:
CeMg2Zr | GGA-PBE | relaxed

Geometry as POSCAR:
```
CeMg2Zr
1.0
-2.331 2.009 0.588
-2.008 -1.898 -1.477
-1.840 -4.595 8.406
Mg Zr Ce
2 1 1
Direct
0.000 0.000 0.768
0.000 0.000 0.232
0.500 0.500 0.000
0.500 0.500 0.500
```

Properties
* Fermi-level density of states: 7.61 states/eV/f.u.
* SG: P4/mmm, No. 123

---

Model c:
CeMg2Zr | GGA-PBE | relaxed

Geometry as POSCAR:
```
CeMg2Zr
1.0
3.088 0.000 0.000
1.544 2.674 0.000
1.544 0.891 11.484
Mg Zr Ce
2 1 1
Direct
0.746 0.746 0.761
0.254 0.254 0.239
0.000 0.000 0.000
0.500 0.500 0.500
```

Properties
* Fermi-level density of states: 4.83 states/eV/f.u.
* SG: R-3m, No. 166

---

Model d:
CeMg2Zr | GGA-PBE | relaxed

Geometry as POSCAR:
```
CeMg2Zr
1.0
-1.929 2.883 -0.280
-3.767 -2.226 3.025
2.327 1.979 4.355
Mg Zr Ce
2 1 1
Direct
0.000 0.000 0.500
0.000 0.500 0.000
0.500 0.000 0.000
0.500 0.500 0.500
```

Properties
* Fermi-level density of states: 8.87 states/eV/f.u.
* SG: P4/mmm, No. 123

---

The winner here is model c, beating the second structure by 5 meV per atom.

---

Model a:
CeMg6Zr | GGA-PBE | relaxed

Geometry as POSCAR:
```
CeMg6Zr
1.0
-6.129 1.902 1.805
0.992 -4.400 -4.909
-0.185 -3.757 3.330
Ce Mg Zr
1 6 1
Direct
0.306 0.694 0.500
0.681 0.826 0.000
0.174 0.319 0.000
0.675 0.325 0.000
0.829 0.685 0.500
0.315 0.171 0.500
0.831 0.169 0.500
0.189 0.811 0.000
```

Properties
* Fermi-level density of states: 8.22 states/eV/f.u.
* SG: Amm2, No. 38

---

Model b:
CeMg6Zr | GGA-PBE | relaxed

Geometry as POSCAR:
```
CeMg6Zr
1.0
3.047 -6.024 0.000
3.047 6.024 0.000
0.000 0.000 5.202
Ce Mg Zr
1 6 1
Direct
0.323 0.677 0.500
0.327 0.176 0.500
0.824 0.673 0.500
0.171 0.321 0.000
0.679 0.829 0.000
0.682 0.318 0.000
0.162 0.838 0.000
0.832 0.168 0.500
```

Properties
* Fermi-level density of states: 9.51 states/eV/f.u.
* SG: Amm2, No. 38

---

The winner here is model a, beating the second structure by 15 meV per atom.